Density functional theory data (PBE) for crystalline ScP2S2 at its relaxed geometry.

```
data_ScP2S2
_chemical_formula_sum 'Sc1 P2 S2'
_symmetry_space_group_name_H-M 'P 1'
_symmetry_Int_Tables_number 1
_cell_length_a 4.532
_cell_length_b 4.532
_cell_length_c 4.444
_cell_angle_alpha 90.00
_cell_angle_beta 90.00
_cell_angle_gamma 90.00
loop_
_symmetry_equiv_pos_as_xyz
'x,y,z'
loop_
_atom_site_label
_atom_site_type_symbol
_atom_site_fract_x
_atom_site_fract_y
_atom_site_fract_z
Sc1 Sc 0.500 0.500 0.500
S1 S 0.000 0.500 0.000
P1 P 0.000 0.000 0.000
S2 S 0.500 0.000 0.000
P2 P 0.000 0.000 0.500
```

Summary:
As for the energy above the most stable polymorph in this dataset: 0 meV/atom. The energy relative to the elements, uncorrected is -0.10 eV per atom.